The following is a PBE+U calculation of a relaxed MoI2BrO crystal, from Alexandria.

Unit cell a=5.983 b=5.983 c=4.012 alpha=90.00 beta=90.00 gamma=90.00
Element x y z (fractional)
Mo 0.000 0.000 0.000
I 0.000 0.500 0.500
I 0.500 0.000 0.500
Br 0.500 0.500 0.500
O 0.500 0.500 0.000

Computed properties:
Space group: No. 123
Volume (Å³ per atom): 28.73
Total energy (eV/cell): -13.1
Theoretical density (g cm⁻³): 5.15

=====

The following is a PBE+U calculation of a relaxed MoI2BrO crystal, from Alexandria.

Unit cell a=5.974 b=5.974 c=3.862 alpha=90.00 beta=90.00 gamma=90.00
Element x y z (fractional)
Mo 0.000 0.000 0.000
I 0.000 0.500 0.000
I 0.500 0.000 0.000
Br 0.500 0.500 0.500
O 0.000 0.000 0.500

Computed properties:
Space group: No. 123
Volume (Å³ per atom): 27.57
Total energy (eV/cell): -17.9
Theoretical density (g cm⁻³): 5.37